[1]
This record from the Alexandria database describes crystalline Y3Tc5 at its relaxed geometry. The functional is PBE.

Results
The energy above the most stable polymorph in this dataset comes out at 0.018 eV/atom. Its formation enthalpy at 0 K is 182 kJ/mol of formula units. The density is 8.4 g cm⁻³. For the total energy, the calculation gives -8.67 eV/atom. The value obtained for the total moment is 0.0 μB per formula unit. As for the calculated volume: 148.81 Å³/cell. Its space-group type is Cmmm (65).

Cell: 5.8341 5.8341 4.6252 Å, 90.00 90.00 109.05°
Last column: nearest neighbours and their distance in Å.
Fractional positions:
Y 0.7466 0.2534 0.5000  8 Tc 2.81-3.04
Tc 0.0000 0.5000 0.0000  6 Y 2.87-2.92, 2 Tc 2.92
Y 0.2534 0.7466 0.5000  8 Tc 2.81-3.04
Tc 0.5000 0.0000 0.0000  6 Y 2.87-2.92, 2 Tc 2.92
Tc 0.2143 0.2143 0.5000  3 Tc 2.73-2.90, 6 Y 2.81-3.04
Y 0.5000 0.5000 0.0000  8 Tc 2.92-3.02
Tc 0.7857 0.7857 0.5000  3 Tc 2.73-2.90, 6 Y 2.81-3.04
Tc 0.0000 0.0000 0.0000  8 Tc 2.73-2.92

[2]
This record from the Alexandria database describes crystalline YTc3 at its relaxed geometry. The functional is PBE.

Results
The energy above the most stable polymorph in this dataset comes out at 0.010 eV/atom. Its formation enthalpy at 0 K is 74 kJ/mol of formula units. The density is 9.0 g cm⁻³. For the total energy, the calculation gives -9.20 eV/atom. The value obtained for the total moment is 0.0 μB per formula unit. As for the calculated volume: 281.45 Å³/cell. Its space-group type is Pnma (62).

Cell: 5.5281 9.2803 5.4860 Å, 90.00 90.00 90.00°
Last column: nearest neighbours and their distance in Å.
Fractional positions:
Tc 0.4441 0.2500 0.6525  4 Tc 2.50-2.77, 1 Y 2.69
Y 0.9876 0.7500 0.6378  3 Tc 2.69-2.87
Tc 0.9441 0.2500 0.8475  4 Tc 2.50-2.77, 1 Y 2.69
Tc 0.0559 0.7500 0.1525  4 Tc 2.50-2.77, 1 Y 2.69
Tc 0.8031 0.5277 0.1212  3 Tc 2.50-2.77
Tc 0.6969 0.0277 0.6212  3 Tc 2.50-2.77
Tc 0.1969 0.4723 0.8788  3 Tc 2.50-2.77
Tc 0.1969 0.0277 0.8788  3 Tc 2.50-2.77
Tc 0.3031 0.5277 0.3788  3 Tc 2.50-2.77
Tc 0.8031 0.9723 0.1212  3 Tc 2.50-2.77
Tc 0.5559 0.7500 0.3475  4 Tc 2.50-2.77, 1 Y 2.69
Y 0.4876 0.7500 0.8622  3 Tc 2.69-2.87
Y 0.5124 0.2500 0.1378  3 Tc 2.69-2.87
Tc 0.6969 0.4723 0.6212  3 Tc 2.50-2.77
Y 0.0124 0.2500 0.3622  3 Tc 2.69-2.87
Tc 0.3031 0.9723 0.3788  3 Tc 2.50-2.77